Record 1
Entry from Alexandria via LeMat-Bulk: a relaxed CsNbBr3 crystal (PBE).

a = 6.3510 Å, b = 6.3510 Å, c = 6.3510 Å
α = 90.00°, β = 90.00°, γ = 90.00°
Last column: nearest neighbours and their distance in Å.
Fractional positions:
Cs  0.0000  0.0000  0.0000  6 Br 3.18
Nb  0.5000  0.5000  0.5000  12 Br 4.49
Br  0.0000  0.0000  0.5000  2 Cs 3.18
Br  0.0000  0.5000  0.0000  2 Cs 3.18
Br  0.5000  0.0000  0.0000  2 Cs 3.18

crystal system: cubic
E_tot: -12.78 eV for the cell shown
size of the total moment: 3.00 μB per formula unit
formation energy (no corrections): 633 meV per atom
polymorph energy (0 for the lowest one): 1611.6 meV per atom
DOS(E_F): 6.272 states/eV per atom

Record 2
Entry from Alexandria via LeMat-Bulk: a relaxed Cs2NbBr crystal (PBE).

a = 6.3527 Å, b = 6.3527 Å, c = 6.3527 Å
α = 60.00°, β = 60.00°, γ = 60.00°
Last column: nearest neighbours and their distance in Å.
Fractional positions:
Cs  0.2500  0.2500  0.2500  4 Nb 3.89, 4 Br 3.89
Cs  0.7500  0.7500  0.7500  4 Nb 3.89, 4 Br 3.89
Nb  0.0000  0.0000  0.0000  8 Cs 3.89
Br  0.5000  0.5000  0.5000  8 Cs 3.89

crystal system: cubic
E_tot: -11.44 eV for the cell shown
size of the total moment: 5.82 μB per formula unit
formation energy (no corrections): 502 meV per atom
DOS(E_F): 1.214 states/eV per atom

Record 3
Entry from Alexandria via LeMat-Bulk: a relaxed Cs2Nb3Br9 crystal (PBE).

a = 10.8381 Å, b = 10.8381 Å, c = 10.7915 Å
α = 104.32°, β = 104.32°, γ = 115.42°
Last column: nearest neighbours and their distance in Å.
Fractional positions:
Cs  0.0482  0.7354  0.6768  5 Br 3.51-3.87
Cs  0.2646  0.9518  0.3232  5 Br 3.51-3.87
Cs  0.7354  0.0482  0.6768  5 Br 3.51-3.87
Cs  0.9518  0.2646  0.3232  5 Br 3.51-3.87
Nb  0.2927  0.4556  0.8682  5 Br 2.62-2.87
Nb  0.3973  0.3973  0.1192  5 Br 2.62-2.82
Nb  0.4556  0.2927  0.8682  5 Br 2.62-2.87
Nb  0.5444  0.7073  0.1318  5 Br 2.62-2.87
Nb  0.6027  0.6027  0.8808  5 Br 2.62-2.82
Nb  0.7073  0.5444  0.1318  5 Br 2.62-2.87
Br  0.0111  0.3945  0.6886  1 Nb 2.87
Br  0.1210  0.3223  0.9853  2 Nb 2.63
Br  0.1899  0.1899  0.6778  2 Nb 2.64
Br  0.2600  0.2600  0.2773  1 Nb 2.82
Br  0.3003  0.6997  0.0000  2 Nb 2.63
Br  0.3223  0.1210  0.9853  2 Nb 2.63
Br  0.3716  0.5704  0.6941  2 Nb 2.62
Br  0.3945  0.0111  0.6886  1 Nb 2.87
Br  0.4296  0.6284  0.3059  2 Nb 2.62
Br  0.5704  0.3716  0.6941  2 Nb 2.62
Br  0.6055  0.9889  0.3114  1 Nb 2.87
Br  0.6284  0.4296  0.3059  2 Nb 2.62
Br  0.6777  0.8790  0.0147  2 Nb 2.63
Br  0.6997  0.3003  0.0000  2 Nb 2.63
Br  0.7400  0.7400  0.7227  1 Nb 2.82
Br  0.8101  0.8101  0.3222  2 Nb 2.64
Br  0.8790  0.6777  0.0147  2 Nb 2.63
Br  0.9889  0.6055  0.3114  1 Nb 2.87

crystal system: monoclinic
E_tot: -126.90 eV for the cell shown
size of the total moment: 0.00 μB per formula unit
formation energy (no corrections): -1177 meV per atom

Record 4
Entry from Alexandria via LeMat-Bulk: a relaxed Cs2NbBr5 crystal (PBE).

a = 9.9283 Å, b = 7.6605 Å, c = 16.0807 Å
α = 90.00°, β = 90.00°, γ = 90.00°
Last column: nearest neighbours and their distance in Å.
Fractional positions:
Cs  0.0250  0.2500  0.2064  10 Br 3.73-3.98
Cs  0.1615  0.7500  0.4188  10 Br 3.74-4.08
Cs  0.3385  0.2500  0.9188  10 Br 3.74-4.08
Cs  0.4750  0.7500  0.7064  10 Br 3.73-3.98
Cs  0.5250  0.2500  0.2936  10 Br 3.73-3.98
Cs  0.6615  0.7500  0.0812  10 Br 3.74-4.08
Cs  0.8385  0.2500  0.5812  10 Br 3.74-4.08
Cs  0.9750  0.7500  0.7936  10 Br 3.73-3.98
Nb  0.1673  0.7500  0.0606  6 Br 2.61-2.72
Nb  0.3327  0.2500  0.5606  6 Br 2.61-2.72
Nb  0.6673  0.7500  0.4394  6 Br 2.61-2.72
Nb  0.8327  0.2500  0.9394  6 Br 2.61-2.72
Br  0.0000  0.0000  0.0000  2 Nb 2.72
Br  0.0000  0.5000  0.0000  2 Nb 2.72
Br  0.0236  0.7500  0.1989  1 Nb 2.64
Br  0.1745  0.0056  0.6171  1 Nb 2.61
Br  0.1745  0.4944  0.6171  1 Nb 2.61
Br  0.2030  0.2500  0.4129  1 Nb 2.70
Br  0.2970  0.7500  0.9129  1 Nb 2.70
Br  0.3255  0.5056  0.1171  1 Nb 2.61
Br  0.3255  0.9944  0.1171  1 Nb 2.61
Br  0.4764  0.2500  0.6989  1 Nb 2.64
Br  0.5000  0.0000  0.5000  2 Nb 2.72
Br  0.5000  0.5000  0.5000  2 Nb 2.72
Br  0.5236  0.7500  0.3011  1 Nb 2.64
Br  0.6745  0.0056  0.8829  1 Nb 2.61
Br  0.6745  0.4944  0.8829  1 Nb 2.61
Br  0.7030  0.2500  0.0871  1 Nb 2.70
Br  0.7970  0.7500  0.5871  1 Nb 2.70
Br  0.8255  0.5056  0.3829  1 Nb 2.61
Br  0.8255  0.9944  0.3829  1 Nb 2.61
Br  0.9764  0.2500  0.8011  1 Nb 2.64

crystal system: orthorhombic
E_tot: -122.11 eV for the cell shown
size of the total moment: 2.00 μB per formula unit
formation energy (no corrections): -1298 meV per atom
DOS(E_F): 0.658 states/eV per atom

Record 5
Entry from Alexandria via LeMat-Bulk: a relaxed CsNbBr3 crystal (PBE).

a = 8.2208 Å, b = 8.2208 Å, c = 8.2208 Å
α = 118.06°, β = 114.96°, γ = 96.18°
Last column: nearest neighbours and their distance in Å.
Fractional positions:
Cs  0.2288  0.2288  0.0000  4 Br 3.77
Cs  0.7712  0.7712  0.0000  4 Br 3.77
Nb  0.5000  0.1319  0.6319  1 Nb 2.23
Nb  0.5000  0.8681  0.3681  1 Nb 2.23
Br  0.2249  0.2348  0.4597  1 Nb 2.58
Br  0.2249  0.7652  0.9900  1 Nb 2.58
Br  0.2672  0.7672  0.5000  2 Nb 2.79
Br  0.7328  0.2328  0.5000  2 Nb 2.79
Br  0.7751  0.2348  0.0100  1 Nb 2.58
Br  0.7751  0.7652  0.5403  1 Nb 2.58

crystal system: orthorhombic
E_tot: -41.55 eV for the cell shown
size of the total moment: 0.00 μB per formula unit
formation energy (no corrections): -966 meV per atom
polymorph energy (0 for the lowest one): 12.7 meV per atom

Record 6
Entry from Alexandria via LeMat-Bulk: a relaxed CsNbBr3 crystal (PBE).

a = 5.5167 Å, b = 5.5167 Å, c = 5.5167 Å
α = 90.00°, β = 90.00°, γ = 90.00°
Last column: nearest neighbours and their distance in Å.
Fractional positions:
Cs  0.0000  0.0000  0.0000  12 Br 3.90
Nb  0.5000  0.5000  0.5000  6 Br 2.76
Br  0.0000  0.5000  0.5000  2 Nb 2.76
Br  0.5000  0.0000  0.5000  2 Nb 2.76
Br  0.5000  0.5000  0.0000  2 Nb 2.76

crystal system: cubic
E_tot: -20.46 eV for the cell shown
size of the total moment: 3.00 μB per formula unit
formation energy (no corrections): -904 meV per atom
polymorph energy (0 for the lowest one): 75.3 meV per atom
DOS(E_F): 0.138 states/eV per atom

Record 7
Entry from Alexandria via LeMat-Bulk: a relaxed Cs2NbBr7 crystal (PBE).

a = 10.1599 Å, b = 10.1599 Å, c = 13.2133 Å
α = 125.81°, β = 125.81°, γ = 49.50°
Last column: nearest neighbours and their distance in Å.
Fractional positions:
Cs  0.0346  0.6856  0.9495  8 Br 3.62-3.96
Cs  0.3144  0.9654  0.5505  8 Br 3.62-3.96
Cs  0.6856  0.0346  0.4495  8 Br 3.62-3.96
Cs  0.9654  0.3144  0.0505  8 Br 3.62-3.96
Nb  0.2797  0.7203  0.7500  7 Br 2.54-2.75
Nb  0.7203  0.2797  0.2500  7 Br 2.54-2.75
Br  0.0733  0.1078  0.2580  1 Nb 2.75
Br  0.1078  0.0733  0.7580  1 Nb 2.75
Br  0.1979  0.6347  0.5046  1 Nb 2.54
Br  0.2079  0.4614  0.6824  1 Nb 2.69
Br  0.3653  0.8021  0.9954  1 Nb 2.54
Br  0.4060  0.5940  0.2500  1 Nb 2.67
Br  0.4614  0.2079  0.1824  1 Nb 2.69
Br  0.5386  0.7921  0.8176  1 Nb 2.69
Br  0.5940  0.4060  0.7500  1 Nb 2.67
Br  0.6347  0.1979  0.0046  1 Nb 2.54
Br  0.7921  0.5386  0.3176  1 Nb 2.69
Br  0.8021  0.3653  0.4954  1 Nb 2.54
Br  0.8922  0.9267  0.2420  1 Nb 2.75
Br  0.9267  0.8922  0.7420  1 Nb 2.75

crystal system: monoclinic
E_tot: -70.12 eV for the cell shown
size of the total moment: 0.07 μB per formula unit
formation energy (no corrections): -1157 meV per atom
DOS(E_F): 0.048 states/eV per atom

Record 8
Entry from Alexandria via LeMat-Bulk: a relaxed Cs3NbBr crystal (PBE).

a = 6.8730 Å, b = 6.8730 Å, c = 6.8730 Å
α = 90.00°, β = 90.00°, γ = 90.00°
Last column: nearest neighbours and their distance in Å.
Fractional positions:
Cs  0.0000  0.0000  0.5000  2 Br 3.44
Cs  0.0000  0.5000  0.0000  2 Br 3.44
Cs  0.5000  0.0000  0.0000  2 Br 3.44
Nb  0.5000  0.5000  0.5000  12 Cs 4.86
Br  0.0000  0.0000  0.0000  6 Cs 3.44

crystal system: cubic
E_tot: -12.73 eV for the cell shown
size of the total moment: 5.00 μB per formula unit
formation energy (no corrections): 315 meV per atom
DOS(E_F): 0.803 states/eV per atom